# 1
Below is an optimized crystal structure of Au2SeCl, with properties calculated at the PBE level.

Cell and atoms, written as POSCAR:
```
Au2SeCl
1.0
3.089 0.000 0.000
0.000 3.532 0.000
0.000 0.000 7.371
Au Se Cl
2 1 1
Direct
0.000 0.000 0.229
0.000 0.000 0.771
0.500 0.500 0.000
0.500 0.500 0.500
```

## Properties
For the total energy, the calculation gives -2.628 eV per atom. Its space group is Pmmm, No. 47. As for the formation energy without anion corrections: 343 meV/atom. For the relative energy among the computed polymorphs, the calculation gives 0.3662 eV/atom.

=====

# 2
Below is an optimized crystal structure of BaH2O2, with properties calculated at the PBE level.

Cell and atoms, written as POSCAR:
```
BaH2O2
1.0
7.668 0.000 0.000
0.000 7.762 0.000
-6.668 0.000 8.899
Ba H O
8 16 16
Direct
0.074 0.023 0.346
0.074 0.477 0.846
0.331 0.585 0.599
0.331 0.915 0.099
0.669 0.085 0.901
0.669 0.415 0.401
0.926 0.523 0.154
0.926 0.977 0.654
0.174 0.229 0.614
0.174 0.271 0.114
0.262 0.215 0.820
0.262 0.285 0.320
0.295 0.616 0.208
0.295 0.884 0.708
0.431 0.750 0.409
0.431 0.750 0.909
0.569 0.250 0.091
0.569 0.250 0.591
0.705 0.116 0.292
0.705 0.384 0.792
0.738 0.715 0.680
0.738 0.785 0.180
0.826 0.729 0.886
0.826 0.771 0.386
0.110 0.172 0.130
0.110 0.328 0.630
0.279 0.734 0.818
0.279 0.766 0.318
0.292 0.538 0.135
0.292 0.962 0.635
0.299 0.162 0.913
0.299 0.338 0.413
0.701 0.662 0.587
0.701 0.838 0.087
0.708 0.038 0.365
0.708 0.462 0.865
0.721 0.234 0.682
0.721 0.266 0.182
0.890 0.672 0.370
0.890 0.828 0.870
```

## Properties
For the total energy, the calculation gives -5.480 eV per atom. Its space group is P2_1/c, No. 14.

=====

# 3
Below is an optimized crystal structure of NbRe2O, with properties calculated at the PBE level.

Cell and atoms, written as POSCAR:
```
NbRe2O
1.0
-3.408 3.408 2.427
3.408 -3.408 2.427
3.408 3.408 -2.427
Nb Re O
2 4 2
Direct
0.000 0.000 0.000
0.750 0.250 0.500
0.217 0.625 0.092
0.375 0.467 0.592
0.533 0.125 0.908
0.875 0.783 0.408
0.250 0.750 0.500
0.500 0.500 0.000
```

## Properties
For the total energy, the calculation gives -9.891 eV per atom. Its space group is I-42d, No. 122. As for the formation energy without anion corrections: 90 meV/atom.

=====

# 4
Below is an optimized crystal structure of Na2LiNpO4, with properties calculated at the PBE level.

Cell and atoms, written as POSCAR:
```
Na2LiNpO4
1.0
5.409 0.000 0.000
0.000 3.440 0.000
-1.570 0.000 5.518
Na Li Np O
2 1 1 4
Direct
0.000 0.000 0.000
0.500 0.500 0.000
0.000 0.500 0.500
0.500 0.000 0.500
0.268 0.500 0.294
0.271 0.000 0.720
0.729 0.000 0.280
0.732 0.500 0.706
```

## Properties
For the total energy, the calculation gives -6.991 eV per atom. Its space group is P2/m, No. 10. As for the formation energy without anion corrections: -2326 meV/atom.

=====

# 5
Below is an optimized crystal structure of Ti3I4Cl2, with properties calculated at the PBE level.

Cell and atoms, written as POSCAR:
```
Ti3I4Cl2
1.0
3.619 0.000 0.000
-1.809 3.134 0.000
0.000 0.000 27.903
Ti I Cl
3 4 2
Direct
0.000 0.000 0.000
0.333 0.667 0.263
0.333 0.667 0.737
0.000 0.000 0.197
0.000 0.000 0.329
0.000 0.000 0.671
0.000 0.000 0.803
0.333 0.667 0.054
0.333 0.667 0.946
```

## Properties
For the total energy, the calculation gives -4.593 eV per atom. Its space group is P-6m2, No. 187. As for the formation energy without anion corrections: -862 meV/atom.